No. 1
Computed, not measured: a relaxed structure of AlZn2Au3 at the PBE level of DFT.

Computed properties:
energy of formation from the pure elements = -0.183 eV per atom
energy above the most stable polymorph in this dataset = 61 meV per atom
space-group type = C2/c (15)

Cell: 6.174 5.985 5.985 Å, 88.77 101.22 101.22°
Fractional positions:
1 Au 0.500 0.000 0.500
2 Au 0.012 0.818 0.652
3 Au 0.000 0.500 0.000
4 Au 0.988 0.182 0.348
5 Au 0.488 0.348 0.182
6 Au 0.512 0.652 0.818
7 Zn 0.250 0.241 0.759
8 Zn 0.750 0.759 0.241
9 Zn 0.750 0.079 0.921
10 Zn 0.250 0.921 0.079
11 Al 0.250 0.585 0.415
12 Al 0.750 0.415 0.585

No. 2
Computed, not measured: a relaxed structure of CuIrPt2 at the PBE level of DFT.

Computed properties:
energy of formation from the pure elements = 0.092 eV per atom
energy above the most stable polymorph in this dataset = 145 meV per atom
space-group type = Cmmm (65)

Cell: 2.733 2.733 9.230 Å, 90.00 90.00 120.22°
Fractional positions:
1 Pt 0.000 0.000 0.008
2 Pt 0.000 0.000 0.492
3 Cu 0.500 0.500 0.250
4 Ir 0.500 0.500 0.750

No. 3
Computed, not measured: a relaxed structure of LaPm3Ag at the PBE level of DFT.

Computed properties:
energy of formation from the pure elements = 0.041 eV per atom
space-group type = C2/m (12)

Cell: 8.063 8.063 7.387 Å, 99.73 116.46 115.91°
Fractional positions:
1 Pm 0.312 0.581 0.893
2 Pm 0.688 0.419 0.107
3 Pm 0.776 0.478 0.658
4 Pm 0.180 0.882 0.658
5 Pm 0.820 0.118 0.342
6 Pm 0.224 0.522 0.342
7 La 0.251 0.951 0.202
8 La 0.749 0.049 0.798
9 Ag 0.670 0.729 0.399
10 Ag 0.330 0.271 0.601

No. 4
Computed, not measured: a relaxed structure of RbErTe4 at the PBE level of DFT.

Computed properties:
uncorrected formation energy = -0.91 eV per atom
space-group type = P4/nbm (125)

Cell: 6.840 6.840 9.222 Å, 90.00 90.00 90.00°
Fractional positions:
1 Te 0.647 0.147 0.802
2 Te 0.353 0.853 0.802
3 Te 0.853 0.353 0.198
4 Te 0.647 0.853 0.198
5 Te 0.147 0.353 0.802
6 Te 0.147 0.647 0.198
7 Te 0.853 0.647 0.802
8 Te 0.353 0.147 0.198
9 Er 0.500 0.500 0.000
10 Er 0.000 0.000 0.000
11 Rb 0.500 0.500 0.500
12 Rb 0.000 0.000 0.500

Number 1: final energy -2.870 eV/atom. Number 2: final energy -6.167 eV/atom. Number 3: final energy -4.365 eV/atom. Number 4: final energy -3.928 eV/atom.